## CsRb2Ag3P2 (PBE-GGA)

Data for an optimized crystal structure of CsRb2Ag3P2.

Output
The total DFT energy (no corrections) comes out at -3.089 eV/atom. As for the space group: R-3m (166).

abc: 7.954 7.954 7.954
angles: 46.79 46.79 46.79
Sites, in units of the cell vectors:
Cs 0.000 0.000 0.000
Rb 0.407 0.407 0.407
Rb 0.593 0.593 0.593
Ag 0.000 0.000 0.500
Ag 0.000 0.500 0.000
Ag 0.500 0.000 0.000
P 0.245 0.245 0.245
P 0.755 0.755 0.755